Record 1
{
  "formula": "CaZnSnI2",
  "functional": "PBE",
  "state": "relaxed",
  "lattice": [[5.8059, 0.0000, 0.0000], [0.0000, 5.8059, 0.0000], [0.0000, 0.0000, 5.1887]],
  "species": ["Ca", "Zn", "Sn", "I", "I"],
  "frac_coords": [[0.0000, 0.0000, 0.0000], [0.5000, 0.5000, 0.5000], [0.5000, 0.5000, 0.0000], [0.0000, 0.5000, 0.5000], [0.5000, 0.0000, 0.5000]],
  "energy_ev_per_cell": -11.138,
  "m_tot_mub_per_cell": 0.000,
  "e_form_raw_ev_per_atom": -0.152,
  "spacegroup": "P4/mmm"
}

Record 2
{
  "formula": "SrCaI2",
  "functional": "PBE",
  "state": "relaxed",
  "lattice": [[4.3776, 0.0000, 0.0000], [-2.1888, 3.7911, 0.0000], [0.0000, 0.0000, 32.4909]],
  "species": ["Sr", "Sr", "Sr", "Ca", "Ca", "Ca", "I", "I", "I", "I", "I", "I"],
  "frac_coords": [[0.0000, 0.0000, 0.0000], [0.3333, 0.6667, 0.6667], [0.6667, 0.3333, 0.3333], [0.0000, 0.0000, 0.1684], [0.3333, 0.6667, 0.8351], [0.6667, 0.3333, 0.5017], [0.0000, 0.0000, 0.5598], [0.0000, 0.0000, 0.7770], [0.3333, 0.6667, 0.2265], [0.3333, 0.6667, 0.4437], [0.6667, 0.3333, 0.1104], [0.6667, 0.3333, 0.8931]],
  "energy_ev_per_cell": -33.214,
  "m_tot_mub_per_cell": 0.000,
  "e_form_raw_ev_per_atom": -1.072,
  "spacegroup": "R3m",
  "polymorph_energy_kcal_per_mol_atoms": 0.13
}

Record 3
{
  "formula": "SrCaI4",
  "functional": "PBE",
  "state": "relaxed",
  "lattice": [[7.1402, 0.0000, 0.0000], [0.0000, 18.8507, 0.0000], [0.0000, 0.0000, 8.0081]],
  "species": ["Sr", "Sr", "Sr", "Sr", "Ca", "Ca", "Ca", "Ca", "I", "I", "I", "I", "I", "I", "I", "I", "I", "I", "I", "I", "I", "I", "I", "I"],
  "frac_coords": [[0.0000, 0.0669, 0.2500], [0.0000, 0.9331, 0.7500], [0.5000, 0.4331, 0.7500], [0.5000, 0.5669, 0.2500], [0.0000, 0.3145, 0.2500], [0.0000, 0.6855, 0.7500], [0.5000, 0.1855, 0.7500], [0.5000, 0.8145, 0.2500], [0.2402, 0.4383, 0.0884], [0.2402, 0.5617, 0.5884], [0.2492, 0.1950, 0.0835], [0.2492, 0.8050, 0.5835], [0.2508, 0.3050, 0.5835], [0.2508, 0.6950, 0.0835], [0.2598, 0.0617, 0.5884], [0.2598, 0.9383, 0.0884], [0.7402, 0.0617, 0.9116], [0.7402, 0.9383, 0.4116], [0.7492, 0.3050, 0.9165], [0.7492, 0.6950, 0.4165], [0.7508, 0.1950, 0.4165], [0.7508, 0.8050, 0.9165], [0.7598, 0.4383, 0.4116], [0.7598, 0.5617, 0.9116]],
  "energy_ev_per_cell": -78.328,
  "m_tot_mub_per_cell": 0.000,
  "e_form_raw_ev_per_atom": -1.616,
  "spacegroup": "Pbcn"
}

Record 4
{
  "formula": "SrCaI4",
  "functional": "PBE",
  "state": "relaxed",
  "lattice": [[7.3424, 0.0000, 0.0000], [0.0000, 7.9542, 0.0000], [-7.3359, 0.0000, 18.7142]],
  "species": ["Sr", "Sr", "Sr", "Sr", "Ca", "Ca", "Ca", "Ca", "I", "I", "I", "I", "I", "I", "I", "I", "I", "I", "I", "I", "I", "I", "I", "I"],
  "frac_coords": [[0.1795, 0.2486, 0.1798], [0.1795, 0.2514, 0.6798], [0.8205, 0.7486, 0.3202], [0.8205, 0.7514, 0.8202], [0.4357, 0.2494, 0.4358], [0.4357, 0.2506, 0.9358], [0.5643, 0.7494, 0.0642], [0.5643, 0.7506, 0.5642], [0.0717, 0.0966, 0.8135], [0.0717, 0.4034, 0.3135], [0.2025, 0.5753, 0.9463], [0.2025, 0.9247, 0.4463], [0.3106, 0.0744, 0.0537], [0.3106, 0.4256, 0.5537], [0.4458, 0.5930, 0.1865], [0.4458, 0.9070, 0.6865], [0.5542, 0.0930, 0.3135], [0.5542, 0.4070, 0.8135], [0.6894, 0.5744, 0.4463], [0.6894, 0.9256, 0.9463], [0.7975, 0.0753, 0.5537], [0.7975, 0.4247, 0.0537], [0.9283, 0.5966, 0.6865], [0.9283, 0.9034, 0.1865]],
  "energy_ev_per_cell": -78.755,
  "m_tot_mub_per_cell": 0.000,
  "e_form_raw_ev_per_atom": -1.634,
  "spacegroup": "P2_1/c"
}

Record 5
{
  "formula": "SrCaI4",
  "functional": "PBE",
  "state": "relaxed",
  "lattice": [[9.4727, 0.0000, 0.0000], [0.0000, 11.1871, 0.0000], [-6.1380, 0.0000, 9.8660]],
  "species": ["Sr", "Sr", "Sr", "Sr", "Ca", "Ca", "Ca", "Ca", "I", "I", "I", "I", "I", "I", "I", "I", "I", "I", "I", "I", "I", "I", "I", "I"],
  "frac_coords": [[0.0042, 0.1948, 0.1418], [0.0042, 0.3052, 0.6418], [0.9958, 0.6948, 0.3582], [0.9958, 0.8052, 0.8582], [0.4779, 0.5398, 0.1963], [0.4779, 0.9602, 0.6963], [0.5221, 0.0398, 0.3037], [0.5221, 0.4602, 0.8037], [0.1509, 0.6584, 0.1533], [0.1509, 0.8416, 0.6533], [0.2105, 0.0485, 0.0071], [0.2105, 0.4515, 0.5071], [0.2490, 0.5297, 0.8759], [0.2490, 0.9703, 0.3759], [0.3908, 0.1962, 0.7924], [0.3908, 0.3038, 0.2924], [0.6092, 0.6962, 0.7076], [0.6092, 0.8038, 0.2076], [0.7510, 0.0297, 0.6241], [0.7510, 0.4703, 0.1241], [0.7895, 0.5485, 0.4929], [0.7895, 0.9515, 0.9929], [0.8491, 0.1584, 0.3467], [0.8491, 0.3416, 0.8467]],
  "energy_ev_per_cell": -77.703,
  "m_tot_mub_per_cell": 0.000,
  "e_form_raw_ev_per_atom": -1.590,
  "spacegroup": "P2_1/c"
}

Record 6
{
  "formula": "SrCaI4",
  "functional": "PBE",
  "state": "relaxed",
  "lattice": [[8.2169, 0.0000, 0.0000], [0.0000, 8.1676, 0.0000], [-4.9077, 0.0000, 16.3654]],
  "species": ["Sr", "Sr", "Sr", "Sr", "Ca", "Ca", "Ca", "Ca", "I", "I", "I", "I", "I", "I", "I", "I", "I", "I", "I", "I", "I", "I", "I", "I"],
  "frac_coords": [[0.2213, 0.0464, 0.1587], [0.2213, 0.4536, 0.6587], [0.7787, 0.5464, 0.3413], [0.7787, 0.9536, 0.8413], [0.3018, 0.1564, 0.9065], [0.3018, 0.3436, 0.4065], [0.6982, 0.6564, 0.5935], [0.6982, 0.8436, 0.0935], [0.0155, 0.2389, 0.9823], [0.0155, 0.2611, 0.4823], [0.0329, 0.1200, 0.7383], [0.0329, 0.3800, 0.2383], [0.4584, 0.6903, 0.4154], [0.4584, 0.8097, 0.9154], [0.4616, 0.6841, 0.1781], [0.4616, 0.8159, 0.6781], [0.5384, 0.1841, 0.3219], [0.5384, 0.3159, 0.8219], [0.5416, 0.1903, 0.0846], [0.5416, 0.3097, 0.5846], [0.9671, 0.6200, 0.7617], [0.9671, 0.8800, 0.2617], [0.9845, 0.7389, 0.5177], [0.9845, 0.7611, 0.0177]],
  "energy_ev_per_cell": -77.250,
  "m_tot_mub_per_cell": 0.000,
  "e_form_raw_ev_per_atom": -1.571,
  "spacegroup": "P2_1/c"
}

Record 7
{
  "formula": "SrCaI4",
  "functional": "PBE",
  "state": "relaxed",
  "lattice": [[8.0647, 0.0000, 0.0000], [0.0000, 4.6914, 0.0000], [-2.7596, 0.0000, 7.6799]],
  "species": ["Sr", "Ca", "I", "I", "I", "I"],
  "frac_coords": [[0.0000, 0.0000, 0.0000], [0.0000, 0.5000, 0.5000], [0.2309, 0.0000, 0.7326], [0.2360, 0.5000, 0.2586], [0.7640, 0.5000, 0.7414], [0.7691, 0.0000, 0.2674]],
  "energy_ev_per_cell": -19.855,
  "m_tot_mub_per_cell": 0.000,
  "e_form_raw_ev_per_atom": -1.662,
  "spacegroup": "P2/m"
}

Record 8
{
  "formula": "SrCaI3",
  "functional": "PBE",
  "state": "relaxed",
  "lattice": [[6.3738, 0.0000, 0.0000], [0.0000, 6.3738, 0.0000], [0.0000, 0.0000, 6.3738]],
  "species": ["Sr", "Ca", "I", "I", "I"],
  "frac_coords": [[0.0000, 0.0000, 0.0000], [0.5000, 0.5000, 0.5000], [0.0000, 0.0000, 0.5000], [0.0000, 0.5000, 0.0000], [0.5000, 0.0000, 0.0000]],
  "energy_ev_per_cell": -13.662,
  "m_tot_mub_per_cell": 0.897,
  "e_form_raw_ev_per_atom": -1.066,
  "spacegroup": "Pm-3m",
  "polymorph_energy_kcal_per_mol_atoms": 2.64
}

Record 9
{
  "formula": "SrCaI4",
  "functional": "PBE",
  "state": "relaxed",
  "lattice": [[9.5562, 0.0000, 0.0000], [0.0000, 7.7397, 0.0000], [-9.0881, 0.0000, 15.6257]],
  "species": ["Sr", "Sr", "Sr", "Sr", "Ca", "Ca", "Ca", "Ca", "I", "I", "I", "I", "I", "I", "I", "I", "I", "I", "I", "I", "I", "I", "I", "I"],
  "frac_coords": [[0.2476, 0.0909, 0.3690], [0.2476, 0.4091, 0.8690], [0.7524, 0.5909, 0.1310], [0.7524, 0.9091, 0.6310], [0.2489, 0.0920, 0.6276], [0.2489, 0.4080, 0.1276], [0.7511, 0.5920, 0.8724], [0.7511, 0.9080, 0.3724], [0.0008, 0.2456, 0.6787], [0.0008, 0.2544, 0.1787], [0.0007, 0.7239, 0.0629], [0.0007, 0.7761, 0.5629], [0.4885, 0.2323, 0.5662], [0.4885, 0.2677, 0.0662], [0.5002, 0.2308, 0.3070], [0.5002, 0.2692, 0.8070], [0.4998, 0.7308, 0.1930], [0.4998, 0.7692, 0.6930], [0.5115, 0.7323, 0.9338], [0.5115, 0.7677, 0.4338], [0.9993, 0.2239, 0.4371], [0.9993, 0.2761, 0.9371], [0.9992, 0.7456, 0.8213], [0.9992, 0.7544, 0.3213]],
  "energy_ev_per_cell": -77.958,
  "m_tot_mub_per_cell": 0.000,
  "e_form_raw_ev_per_atom": -1.601,
  "spacegroup": "P2_1/c"
}

Record 10
{
  "formula": "SrCa3I",
  "functional": "PBE",
  "state": "relaxed",
  "lattice": [[7.1095, 0.0000, 0.0000], [0.0000, 7.1095, 0.0000], [0.0000, 0.0000, 7.1095]],
  "species": ["Sr", "Ca", "Ca", "Ca", "I"],
  "frac_coords": [[0.0000, 0.0000, 0.0000], [0.0000, 0.0000, 0.5000], [0.0000, 0.5000, 0.0000], [0.5000, 0.0000, 0.0000], [0.5000, 0.5000, 0.5000]],
  "energy_ev_per_cell": -6.298,
  "m_tot_mub_per_cell": 0.540,
  "e_form_raw_ev_per_atom": 0.588,
  "spacegroup": "Pm-3m",
  "polymorph_energy_kcal_per_mol_atoms": 16.70
}

Record 11
{
  "formula": "SrCaI2",
  "functional": "PBE",
  "state": "relaxed",
  "lattice": [[8.1665, 0.0000, 0.0000], [0.0000, 8.1665, 0.0000], [0.0000, 0.0000, 8.1665]],
  "species": ["Sr", "Sr", "Sr", "Sr", "Ca", "Ca", "Ca", "Ca", "I", "I", "I", "I", "I", "I", "I", "I"],
  "frac_coords": [[0.0000, 0.0000, 0.0000], [0.0000, 0.5000, 0.5000], [0.5000, 0.0000, 0.5000], [0.5000, 0.5000, 0.0000], [0.0000, 0.0000, 0.5000], [0.0000, 0.5000, 0.0000], [0.5000, 0.0000, 0.0000], [0.5000, 0.5000, 0.5000], [0.2500, 0.2500, 0.2500], [0.2500, 0.2500, 0.7500], [0.2500, 0.7500, 0.2500], [0.2500, 0.7500, 0.7500], [0.7500, 0.2500, 0.2500], [0.7500, 0.2500, 0.7500], [0.7500, 0.7500, 0.2500], [0.7500, 0.7500, 0.7500]],
  "energy_ev_per_cell": -41.366,
  "m_tot_mub_per_cell": 1.479,
  "e_form_raw_ev_per_atom": -0.889,
  "spacegroup": "Fm-3m",
  "polymorph_energy_kcal_per_mol_atoms": 4.34
}

Record 12
{
  "formula": "Sr2CaI6",
  "functional": "PBE",
  "state": "relaxed",
  "lattice": [[13.9913, 0.0000, 0.0000], [-6.9956, 12.1168, 0.0000], [0.0000, 0.0000, 7.4167]],
  "species": ["Sr", "Sr", "Sr", "Sr", "Sr", "Sr", "Ca", "Ca", "Ca", "I", "I", "I", "I", "I", "I", "I", "I", "I", "I", "I", "I", "I", "I", "I", "I", "I", "I"],
  "frac_coords": [[0.0000, 0.3161, 0.0000], [0.0000, 0.6503, 0.5000], [0.3161, 0.0000, 0.0000], [0.3497, 0.3497, 0.5000], [0.6503, 0.0000, 0.5000], [0.6839, 0.6839, 0.0000], [0.0000, 0.0000, 0.5000], [0.3333, 0.6667, 0.0007], [0.6667, 0.3333, 0.9993], [0.0949, 0.8801, 0.2608], [0.1199, 0.2148, 0.2608], [0.1199, 0.5455, 0.2441], [0.2148, 0.1199, 0.7392], [0.2263, 0.7733, 0.7573], [0.2267, 0.4529, 0.7573], [0.4256, 0.8801, 0.2441], [0.4529, 0.2267, 0.2427], [0.4545, 0.5744, 0.2441], [0.5455, 0.1199, 0.7559], [0.5471, 0.7737, 0.7573], [0.5744, 0.4545, 0.7559], [0.7733, 0.2263, 0.2427], [0.7737, 0.5471, 0.2427], [0.7852, 0.9051, 0.2608], [0.8801, 0.0949, 0.7392], [0.8801, 0.4256, 0.7559], [0.9051, 0.7852, 0.7392]],
  "energy_ev_per_cell": -88.552,
  "m_tot_mub_per_cell": 0.000,
  "e_form_raw_ev_per_atom": -1.650,
  "spacegroup": "P321",
  "polymorph_energy_kcal_per_mol_atoms": 0.61
}